[1]
VASP calculation (PBE-GGA) on a geometry-optimized HfTaMo structure.

a = 4.4801 Å, b = 4.4801 Å, c = 4.4801 Å
α = 60.00°, β = 60.00°, γ = 60.00°
With the nearest neighbours (Å) after each atom.
Atoms (fractional coordinates):
Hf: 0.0000 0.0000 0.0000  4 Mo 2.74
Ta: 0.5000 0.5000 0.5000  4 Mo 2.74
Mo: 0.2500 0.2500 0.2500  4 Hf 2.74, 4 Ta 2.74

Properties
Total magnetic moment   0.00 Bohr magnetons per cell
Crystal system   cubic
Uncorrected energy   -10.3981 eV/atom
Space group   F-43m

***

[2]
VASP calculation (PBE-GGA) on a geometry-optimized LiCdCoB structure.

a = 3.9958 Å, b = 3.9958 Å, c = 3.9958 Å
α = 60.00°, β = 60.00°, γ = 60.00°
With the nearest neighbours (Å) after each atom.
Atoms (fractional coordinates):
Li: 0.0000 0.0000 0.0000  4 Co 2.45, 4 Cd 2.45
Cd: 0.2500 0.2500 0.2500  4 Li 2.45, 4 B 2.45
Co: 0.7500 0.7500 0.7500  4 Li 2.45, 4 B 2.45
B: 0.5000 0.5000 0.5000  4 Cd 2.45, 4 Co 2.45

Properties
Total magnetic moment   0.49 Bohr magnetons per cell
Offset from the most stable computed form   0.000 eV/atom
Crystal system   cubic
Uncorrected energy   -3.6822 eV/atom
Space group   F-43m

***

[3]
VASP calculation (PBE-GGA) on a geometry-optimized Si2Hg2AsP3 structure.

a = 6.7433 Å, b = 6.7433 Å, c = 5.7850 Å
α = 114.91°, β = 114.91°, γ = 50.48°
With the nearest neighbours (Å) after each atom.
Atoms (fractional coordinates):
Si: 0.1279 0.1279 0.3845  3 P 2.28, 1 As 2.38
Si: 0.8721 0.8721 0.6155  3 P 2.28, 1 As 2.38
Hg: 0.3560 0.3875 0.1294  3 P 2.56-2.59, 1 As 2.66
Hg: 0.6125 0.6440 0.8706  3 P 2.56-2.59, 1 As 2.66
As: 0.7846 0.2154 0.0000  2 Si 2.38, 2 Hg 2.66
P: 0.2014 0.7986 0.5000  2 Si 2.28
P: 0.4958 0.0040 0.2950  2 Si 2.28
P: 0.9960 0.5042 0.7050  2 Si 2.28

Properties
Crystal system   monoclinic
Uncorrected energy   -4.0759 eV/atom
Space group   C2